Entry from Alexandria: a crystal of Cr2Fe2Os relaxed with PBEsol (meta-GGA SCAN).

Structure (POSCAR):
```
Cr2Fe2Os
1.0
-2.303 1.811 1.937
-1.762 -2.962 0.674
4.750 -0.151 2.606
Os Fe Cr
1 2 2
Cartesian
0.000 0.000 0.000 Os
2.138 -0.572 3.078 Fe
-1.454 -0.731 2.139 Fe
0.207 0.542 2.924 Cr
0.478 -1.844 2.293 Cr
```

As for the space group: I4/mmm, No. 139. The calculation puts the formation energy from the elements at 0.687 eV/atom. The value obtained for the density of states at the Fermi level is 5.08 states/eV/cell.

Entry from Alexandria: a crystal of CrFeOs relaxed with PBEsol (meta-GGA SCAN).

Structure (POSCAR):
```
CrFeOs
1.0
2.583 0.000 0.000
0.000 3.969 0.000
0.000 -1.985 3.437
Cr Os Fe
1 1 1
Cartesian
0.000 0.000 0.000 Cr
1.292 0.000 2.292 Os
0.000 1.985 1.146 Fe
```

Its offset from the most stable computed form is 0.0 kJ/mol of formula units. As for the space group: P-6m2, No. 187. The calculation puts the formation energy from the elements at 0.128 eV/atom. The value obtained for the density of states at the Fermi level is 2.32 states/eV/cell.

Entry from Alexandria: a crystal of Cr2FeOs relaxed with PBEsol (meta-GGA SCAN).

Structure (POSCAR):
```
Cr2FeOs
1.0
3.593 0.000 0.000
0.000 3.615 0.000
0.000 0.000 3.615
Cr Os Fe
2 1 1
Cartesian
0.000 0.000 1.807 Cr
0.000 1.807 0.000 Cr
1.797 0.000 0.000 Os
1.797 1.807 1.807 Fe
```

Its offset from the most stable computed form is 9.7 kJ/mol of formula units. As for the space group: P4/mmm, No. 123. The calculation puts the formation energy from the elements at 0.097 eV/atom. The value obtained for the density of states at the Fermi level is 3.30 states/eV/cell.

Entry from Alexandria: a crystal of Cr2FeOs relaxed with PBEsol (meta-GGA SCAN).

Structure (POSCAR):
```
Cr2FeOs
1.0
-0.414 -1.529 -2.434
3.524 1.398 -1.478
0.365 -3.050 3.586
Fe Cr Os
1 2 1
Cartesian
1.602 -0.143 -1.915 Fe
2.761 -0.923 0.110 Cr
3.415 -3.086 -0.376 Cr
0.724 -2.275 -0.426 Os
```

Its offset from the most stable computed form is 0.0 kJ/mol of formula units. As for the space group: Imm2, No. 44. The calculation puts the formation energy from the elements at 0.072 eV/atom. The value obtained for the density of states at the Fermi level is 3.48 states/eV/cell.